GGA-PBE Li2ZnO2, relaxed; D(E_F) = 0.00 states/eV/cell; raw total energy = -4.36 eV per atom; space-group type = P4/mbm (127); E_form (uncorrected) = -1.36 eV/atom
1.0
5.624 0.000 0.000
0.000 5.624 0.000
0.000 0.000 2.929
Li Zn O
4 2 4
direct
0.134 0.366 0.000
0.366 0.866 0.000
0.634 0.134 0.000
0.866 0.634 0.000
0.000 0.000 0.500
0.500 0.500 0.500
0.184 0.684 0.500
0.316 0.184 0.500
0.684 0.816 0.500
0.816 0.316 0.500